No. 1
Compound: K2HgHCl4
Source: the Alexandria database
Functional: PBE
Structure: relaxed

a = 7.836 Å, b = 11.988 Å, c = 4.543 Å
α = 90.00°, β = 90.00°, γ = 90.00°
Positions (direct):
K: 0.093 0.181 0.000
K: 0.407 0.681 0.000
K: 0.593 0.319 0.000
K: 0.907 0.819 0.000
Hg: 0.000 0.500 0.500
Hg: 0.500 0.000 0.500
H: 0.000 0.000 0.500
H: 0.500 0.500 0.500
Cl: 0.120 0.691 0.500
Cl: 0.228 0.441 0.000
Cl: 0.272 0.941 0.000
Cl: 0.380 0.191 0.500
Cl: 0.620 0.809 0.500
Cl: 0.728 0.059 0.000
Cl: 0.772 0.559 0.000
Cl: 0.880 0.309 0.500

Values from the calculation:
- Crystal system: orthorhombic

---

No. 2
Compound: NaHfRu2N
Source: the Alexandria database
Functional: PBE
Structure: relaxed

a = 4.754 Å, b = 4.754 Å, c = 6.419 Å
α = 90.00°, β = 90.00°, γ = 90.00°
Positions (direct):
Na: 0.000 0.000 0.000
Hf: 0.000 0.000 0.500
Ru: 0.000 0.500 0.500
Ru: 0.500 0.000 0.500
N: 0.500 0.500 0.000

Values from the calculation:
- Crystal system: tetragonal

---

No. 3
Compound: Er2NpP3
Source: the Alexandria database
Functional: PBE
Structure: relaxed

a = 8.837 Å, b = 8.837 Å, c = 8.837 Å
α = 154.08°, β = 154.08°, γ = 36.98°
Positions (direct):
Er: 0.168 0.168 0.000
Er: 0.832 0.832 0.000
Np: 0.500 0.500 0.000
P: 0.000 0.000 0.000
P: 0.334 0.334 0.000
P: 0.666 0.666 0.000

Values from the calculation:
- Crystal system: tetragonal
- Formation energy: -1.359 eV/atom

---

Number 1: E_tot -2.5899 eV/atom. Number 2: E_tot -5.3692 eV/atom. Number 3: E_tot -7.7414 eV/atom.